VASP calculation (GGA-PBE) on a relaxed ThVTc2 crystal.

Properties
N(E_F): 3.17 states/eV per cell
Offset from the most stable computed form: 0 meV per atom
Uncorrected energy: -37.12 eV per cell

Unit cell a=4.6534 b=4.6534 c=4.6534 alpha=60.00 beta=60.00 gamma=60.00
Sites, in units of the cell vectors:
1 Tc 0.2500 0.2500 0.2500
2 Tc 0.7500 0.7500 0.7500
3 Th 0.5000 0.5000 0.5000
4 V 0.0000 0.0000 0.0000

VASP calculation (GGA-PBE) on a relaxed ThTc2W crystal.

Properties
N(E_F): 4.66 states/eV per cell
Uncorrected energy: -39.21 eV per cell

Unit cell a=3.1244 b=3.1244 c=9.1854 alpha=80.21 beta=80.21 gamma=60.00
Sites, in units of the cell vectors:
1 W 0.0000 0.0000 0.0000
2 Th 0.5000 0.5000 0.5000
3 Tc 0.7366 0.7366 0.7903
4 Tc 0.2634 0.2634 0.2097